No. 1
# GGA-PBE Si2SnRhO, optimized geometry
# excess energy over the best structure of this formula in the dataset = 62.4 meV/atom
# formation energy (no corrections) = -3.6 eV per formula unit
# space group = No. 10
# calculated total energy = -6.16 eV per atom
data_Si2SnRhO
_symmetry_space_group_name_H-M 'P 1'
_symmetry_Int_Tables_number 1
_cell_length_a 5.061
_cell_length_b 3.041
_cell_length_c 5.684
_cell_angle_alpha 90.00
_cell_angle_beta 107.36
_cell_angle_gamma 90.00
loop_
_symmetry_equiv_pos_as_xyz
'x,y,z'
loop_
_atom_site_label
_atom_site_type_symbol
_atom_site_fract_x
_atom_site_fract_y
_atom_site_fract_z
O1 O 0.500 0.000 0.500
Sn1 Sn 0.500 0.500 0.000
Rh1 Rh 0.000 0.500 0.000
Si1 Si 0.146 0.000 0.355
Si2 Si 0.854 0.000 0.645


No. 2
# GGA-PBE Li3ZnH, optimized geometry
# excess energy over the best structure of this formula in the dataset = 799.8 meV/atom
# space group = No. 221
# calculated total energy = -1.45 eV per atom
data_Li3ZnH
_symmetry_space_group_name_H-M 'P 1'
_symmetry_Int_Tables_number 1
_cell_length_a 4.941
_cell_length_b 4.941
_cell_length_c 4.941
_cell_angle_alpha 90.00
_cell_angle_beta 90.00
_cell_angle_gamma 90.00
loop_
_symmetry_equiv_pos_as_xyz
'x,y,z'
loop_
_atom_site_label
_atom_site_type_symbol
_atom_site_fract_x
_atom_site_fract_y
_atom_site_fract_z
H1 H 0.500 0.500 0.500
Li1 Li 0.000 0.000 0.500
Li2 Li 0.000 0.500 0.000
Zn1 Zn 0.000 0.000 0.000
Li3 Li 0.500 0.000 0.000


> The lowest excess energy over the best structure of this formula in the dataset belongs to which entry?

Si2SnRhO


> Which formula does entry 1 have?

Si2SnRhO


Copy entry 1 word for word.
# GGA-PBE Si2SnRhO, optimized geometry
# excess energy over the best structure of this formula in the dataset = 62.4 meV/atom
# formation energy (no corrections) = -3.6 eV per formula unit
# space group = No. 10
# calculated total energy = -6.16 eV per atom
data_Si2SnRhO
_symmetry_space_group_name_H-M 'P 1'
_symmetry_Int_Tables_number 1
_cell_length_a 5.061
_cell_length_b 3.041
_cell_length_c 5.684
_cell_angle_alpha 90.00
_cell_angle_beta 107.36
_cell_angle_gamma 90.00
loop_
_symmetry_equiv_pos_as_xyz
'x,y,z'
loop_
_atom_site_label
_atom_site_type_symbol
_atom_site_fract_x
_atom_site_fract_y
_atom_site_fract_z
O1 O 0.500 0.000 0.500
Sn1 Sn 0.500 0.500 0.000
Rh1 Rh 0.000 0.500 0.000
Si1 Si 0.146 0.000 0.355
Si2 Si 0.854 0.000 0.645


> The lowest calculated total energy belongs to which entry?

Si2SnRhO